# NaMg14Cr

A relaxed structure of NaMg14Cr (PBE-GGA, the Alexandria database).

Values from the calculation:
Total energy   -1.994 eV/atom
Crystal system   hexagonal
Formation enthalpy at 0 K   85 meV/atom
Total magnetization   4.51 μB/cell
Offset from the most stable computed form   0.00 eV per formula unit
Space group   No. 187
DOS at the Fermi energy   0.31 states/eV per atom

Geometry as POSCAR:
```
NaMg14Cr
1.0
3.180 -5.508 0.000
3.180 5.508 0.000
0.000 0.000 10.424
Na Mg Cr
1 14 1
direct
0.000 0.000 0.000
0.005 0.502 0.000
0.997 0.498 0.500
0.498 0.995 0.000
0.502 0.003 0.500
0.498 0.502 0.000
0.502 0.498 0.500
0.165 0.835 0.259
0.165 0.835 0.741
0.165 0.331 0.259
0.165 0.331 0.741
0.669 0.835 0.259
0.669 0.835 0.741
0.667 0.333 0.245
0.667 0.333 0.755
0.000 0.000 0.500
```


# MnInCo2

A relaxed structure of MnInCo2 (PBE-GGA, the Alexandria database).

Values from the calculation:
Total energy   -6.361 eV/atom
Crystal system   tetragonal
Formation enthalpy at 0 K   168 meV/atom
Total magnetization   6.01 μB/cell
Space group   No. 119
DOS at the Fermi energy   1.14 states/eV per atom

Geometry as POSCAR:
```
MnInCo2
1.0
4.716 -0.077 0.000
1.769 4.373 0.000
-3.243 -2.148 2.669
Co In Mn
2 1 1
direct
0.000 0.000 0.000
0.250 0.750 0.500
0.500 0.500 0.000
0.750 0.250 0.500
```